Density functional theory data (meta-GGA SCAN) for a PBEsol-optimized structure of FeOF.

Properties
The calculation puts the spin magnetization at 4.0 Bohr magnetons per cell. For the raw formation energy, the calculation gives -1.8037 eV per atom. Its uncorrected energy is -11.104 eV/atom. The value obtained for the density of states at the Fermi level is 0.196 states/eV per atom.

a b c (Å): 4.3856 4.8342 5.3424
angles (deg): 90.21 90.00 90.00
Last column: nearest neighbours and their distance in Å.
Positions (direct):
1 Fe 0.4807 0.2798 0.3617  3 O 1.78-1.83
2 Fe 0.5193 0.7202 0.6383  3 O 1.78-1.83
3 Fe 0.0193 0.2798 0.8617  3 O 1.78-1.83
4 Fe 0.9807 0.7202 0.1383  3 O 1.78-1.83
5 O 0.2669 0.4184 0.6292  3 Fe 1.78-1.83
6 O 0.2331 0.4184 0.1292  3 Fe 1.78-1.83
7 O 0.7669 0.5816 0.8708  3 Fe 1.78-1.83
8 O 0.7331 0.5816 0.3708  3 Fe 1.78-1.83
9 F 0.7446 0.0829 0.6180  3 Fe 2.01-2.03
10 F 0.7554 0.0829 0.1180  3 Fe 2.01-2.03
11 F 0.2446 0.9171 0.8820  3 Fe 2.01-2.03
12 F 0.2554 0.9171 0.3820  3 Fe 2.01-2.03

---

Density functional theory data (meta-GGA SCAN) for a PBEsol-optimized structure of FeOF.

Properties
The calculation puts the spin magnetization at 4.0 Bohr magnetons per cell. For the raw formation energy, the calculation gives -1.8378 eV per atom. Its uncorrected energy is -11.138 eV/atom. The value obtained for the density of states at the Fermi level is 0.002 states/eV per atom.

a b c (Å): 2.8345 4.3570 9.3637
angles (deg): 90.00 90.00 90.00
Last column: nearest neighbours and their distance in Å.
Positions (direct):
1 Fe 0.7500 0.4899 0.8492  3 O 1.77-1.80
2 Fe 0.7500 0.0101 0.3492  3 O 1.77-1.80
3 Fe 0.2500 0.9899 0.6508  3 O 1.77-1.80
4 Fe 0.2500 0.5101 0.1508  3 O 1.77-1.80
5 O 0.7500 0.2055 0.7142  3 Fe 1.77-1.80
6 O 0.2500 0.7055 0.7858  3 Fe 1.77-1.80
7 O 0.7500 0.2945 0.2142  3 Fe 1.77-1.80
8 O 0.2500 0.7945 0.2858  3 Fe 1.77-1.80
9 F 0.7500 0.7753 0.5382  3 Fe 2.00-2.04
10 F 0.2500 0.2753 0.9618  3 Fe 2.00-2.04
11 F 0.7500 0.7247 0.0382  3 Fe 2.00-2.04
12 F 0.2500 0.2247 0.4618  3 Fe 2.00-2.04

---

Density functional theory data (meta-GGA SCAN) for a PBEsol-optimized structure of Fe3O2F2.

Properties
The calculation puts the spin magnetization at 4.3 Bohr magnetons per cell. For the raw formation energy, the calculation gives -1.5598 eV per atom. Its uncorrected energy is -12.121 eV/atom. The value obtained for the density of states at the Fermi level is 0.249 states/eV per atom.

a b c (Å): 2.8009 6.2582 8.2840
angles (deg): 90.00 90.00 90.00
Last column: nearest neighbours and their distance in Å.
Positions (direct):
1 Fe 0.5000 0.7500 0.6807  2 O 2.00, 4 F 2.02-2.22
2 Fe 0.0000 0.2500 0.7639  4 O 1.89
3 Fe 0.5000 0.5000 0.0000  2 O 1.94
4 Fe 0.5000 0.0000 0.0000  2 O 1.94
5 Fe 0.0000 0.7500 0.2361  4 O 1.89
6 Fe 0.5000 0.2500 0.3193  2 O 2.00, 4 F 2.02-2.22
7 O 0.5000 0.0484 0.7681  4 Fe 1.89-2.00
8 O 0.5000 0.4516 0.7681  4 Fe 1.89-2.00
9 O 0.5000 0.5484 0.2319  4 Fe 1.89-2.00
10 O 0.5000 0.9516 0.2319  4 Fe 1.89-2.00
11 F 0.0000 0.7500 0.5057  3 Fe 2.02-2.23
12 F 0.0000 0.7500 0.8881  6 Fe 2.22-2.30
13 F 0.0000 0.2500 0.1119  6 Fe 2.22-2.30
14 F 0.0000 0.2500 0.4943  3 Fe 2.02-2.23

---

Density functional theory data (meta-GGA SCAN) for a PBEsol-optimized structure of FeOF.

Properties
The calculation puts the spin magnetization at 17.0 Bohr magnetons per cell. For the raw formation energy, the calculation gives -1.8870 eV per atom. Its uncorrected energy is -11.187 eV/atom. The value obtained for the density of states at the Fermi level is 0.452 states/eV per atom.

a b c (Å): 4.5639 4.5639 5.8072
angles (deg): 90.00 90.00 90.00
Last column: nearest neighbours and their distance in Å.
Positions (direct):
1 Fe 0.4697 0.5303 0.2500  3 O 1.82-1.90, 1 F 1.96
2 Fe 0.5303 0.4697 0.7500  3 O 1.82-1.90, 1 F 1.96
3 Fe 0.0303 0.0303 0.0000  3 O 1.82-1.90, 1 F 1.96
4 Fe 0.9697 0.9697 0.5000  3 O 1.82-1.90, 1 F 1.96
5 O 0.1873 0.8127 0.2500  3 Fe 1.82-1.90
6 O 0.6873 0.6873 0.5000  3 Fe 1.82-1.90
7 O 0.8127 0.1873 0.7500  3 Fe 1.82-1.90
8 O 0.3127 0.3127 0.0000  3 Fe 1.82-1.90
9 F 0.7733 0.2267 0.2500  3 Fe 1.96-2.07
10 F 0.2733 0.2733 0.5000  3 Fe 1.96-2.07
11 F 0.2267 0.7733 0.7500  3 Fe 1.96-2.07
12 F 0.7267 0.7267 0.0000  3 Fe 1.96-2.07

---

Density functional theory data (meta-GGA SCAN) for a PBEsol-optimized structure of Fe6O7F5.

Properties
The calculation puts the spin magnetization at 5.4 Bohr magnetons per cell. For the raw formation energy, the calculation gives -1.8877 eV per atom. Its uncorrected energy is -11.337 eV/atom. The value obtained for the density of states at the Fermi level is 0.279 states/eV per atom.

a b c (Å): 5.4615 5.4615 7.4435
angles (deg): 68.02 68.02 68.69
Last column: nearest neighbours and their distance in Å.
Positions (direct):
1 Fe 0.7054 0.6813 0.8520  4 O 1.85-1.90
2 Fe 0.3405 0.3278 0.6733  3 O 1.83-1.89, 2 F 1.96-2.03
3 Fe 0.6722 0.6595 0.3267  3 O 1.83-1.89, 2 F 1.96-2.03
4 Fe 0.3187 0.2946 0.1480  4 O 1.85-1.90
5 Fe 0.0036 0.9964 0.5000  4 O 1.87-1.91, 2 F 2.00
6 Fe 0.9754 0.0246 0.0000  3 O 1.82-1.87, 1 F 1.94
7 O 0.6394 0.0331 0.6727  3 Fe 1.83-1.91
8 O 0.9669 0.3606 0.3273  3 Fe 1.83-1.91
9 O 0.2145 0.2274 0.9580  3 Fe 1.87-1.90
10 O 0.7726 0.7855 0.0420  3 Fe 1.87-1.90
11 O 0.3634 0.9557 0.3352  3 Fe 1.85-1.87
12 O 0.0443 0.6366 0.6648  3 Fe 1.85-1.87
13 O 0.6800 0.3200 0.0000  3 Fe 1.82-1.89
14 F 0.9026 0.8993 0.3085  3 Fe 2.00-2.06
15 F 0.5805 0.5715 0.6205  2 Fe 1.96-2.03
16 F 0.4285 0.4195 0.3795  2 Fe 1.96-2.03
17 F 0.1007 0.0974 0.6915  3 Fe 2.00-2.06
18 F 0.2908 0.7092 0.0000  3 Fe 1.94-2.09

---

Density functional theory data (meta-GGA SCAN) for a PBEsol-optimized structure of Fe4OF7.

Properties
The calculation puts the spin magnetization at 34.0 Bohr magnetons per cell. For the raw formation energy, the calculation gives -2.0898 eV per atom. Its uncorrected energy is -10.717 eV/atom. The value obtained for the density of states at the Fermi level is 0.377 states/eV per atom.

a b c (Å): 7.5871 5.7847 7.7328
angles (deg): 90.00 119.38 90.00
Last column: nearest neighbours and their distance in Å.
Positions (direct):
1 Fe 0.1903 0.0799 0.3806  3 F 1.79-2.00
2 Fe 0.4104 0.6546 0.8208  3 F 1.97-2.13, 2 O 1.98-2.04
3 Fe 0.3268 0.7303 0.1358  4 F 1.91-2.10, 1 O 1.95
4 Fe 0.8091 0.7303 0.1358  4 F 1.91-2.10, 1 O 1.95
5 Fe 0.6732 0.2303 0.8642  4 F 1.91-2.10, 1 O 1.95
6 Fe 0.1909 0.2303 0.8642  4 F 1.91-2.10, 1 O 1.95
7 Fe 0.8097 0.5799 0.6194  3 F 1.79-2.00
8 Fe 0.5896 0.1546 0.1792  3 F 1.97-2.13, 2 O 1.98-2.04
9 O 0.5381 0.8221 0.0762  4 Fe 1.95-2.04
10 O 0.4619 0.3221 0.9238  4 Fe 1.95-2.04
11 F 0.4044 0.0372 0.2974  3 Fe 2.03-2.13
12 F 0.8931 0.0372 0.2974  3 Fe 2.03-2.13
13 F 0.1186 0.7771 0.2372  3 Fe 2.00-2.10
14 F 0.3232 0.9282 0.6464  2 Fe 1.97-1.99
15 F 0.6768 0.4282 0.3536  2 Fe 1.97-1.99
16 F 0.7584 0.8652 0.5168  1 Fe 1.79
17 F 0.2416 0.3652 0.4832  1 Fe 1.79
18 F 0.1349 0.9189 0.9033  2 Fe 1.91-1.99
19 F 0.7684 0.9189 0.9033  2 Fe 1.91-1.99
20 F 0.1069 0.5372 0.7026  3 Fe 2.03-2.13
21 F 0.5956 0.5372 0.7026  3 Fe 2.03-2.13
22 F 0.2316 0.4189 0.0967  2 Fe 1.91-1.99
23 F 0.8651 0.4189 0.0967  2 Fe 1.91-1.99
24 F 0.8814 0.2771 0.7628  3 Fe 2.00-2.10

---

Q: What is the formula in the first record?
A: FeOF

---

Q: The lowest raw formation energy belongs to which entry?
A: Fe4OF7

---

Copy entry 3 word for word.
Density functional theory data (meta-GGA SCAN) for a PBEsol-optimized structure of Fe3O2F2.

Properties
The calculation puts the spin magnetization at 4.3 Bohr magnetons per cell. For the raw formation energy, the calculation gives -1.5598 eV per atom. Its uncorrected energy is -12.121 eV/atom. The value obtained for the density of states at the Fermi level is 0.249 states/eV per atom.

a b c (Å): 2.8009 6.2582 8.2840
angles (deg): 90.00 90.00 90.00
Last column: nearest neighbours and their distance in Å.
Positions (direct):
1 Fe 0.5000 0.7500 0.6807  2 O 2.00, 4 F 2.02-2.22
2 Fe 0.0000 0.2500 0.7639  4 O 1.89
3 Fe 0.5000 0.5000 0.0000  2 O 1.94
4 Fe 0.5000 0.0000 0.0000  2 O 1.94
5 Fe 0.0000 0.7500 0.2361  4 O 1.89
6 Fe 0.5000 0.2500 0.3193  2 O 2.00, 4 F 2.02-2.22
7 O 0.5000 0.0484 0.7681  4 Fe 1.89-2.00
8 O 0.5000 0.4516 0.7681  4 Fe 1.89-2.00
9 O 0.5000 0.5484 0.2319  4 Fe 1.89-2.00
10 O 0.5000 0.9516 0.2319  4 Fe 1.89-2.00
11 F 0.0000 0.7500 0.5057  3 Fe 2.02-2.23
12 F 0.0000 0.7500 0.8881  6 Fe 2.22-2.30
13 F 0.0000 0.2500 0.1119  6 Fe 2.22-2.30
14 F 0.0000 0.2500 0.4943  3 Fe 2.02-2.23

---

Q: Which formula does entry 5 have?
A: Fe6O7F5